Entry 1:
Compound: CaAl2Rh
Source: Alexandria via LeMat-Bulk
Functional: PBE
Structure: relaxed

a b c (Å): 3.330 3.214 7.761
angles (deg): 65.47 90.00 90.00
Fractional positions:
Al 0.000 0.034 0.966
Al 0.500 0.305 0.196
Rh 0.500 0.681 0.819
Ca 0.000 0.481 0.519

Entry 2:
Compound: CaAl2Rh2
Source: Alexandria via LeMat-Bulk
Functional: PBE
Structure: relaxed

a b c (Å): 7.483 7.483 2.939
angles (deg): 90.00 90.00 90.00
Fractional positions:
Rh 0.652 0.152 0.000
Rh 0.848 0.652 0.000
Rh 0.348 0.848 0.000
Rh 0.152 0.348 0.000
Al 0.639 0.861 0.500
Al 0.361 0.139 0.500
Al 0.861 0.361 0.500
Al 0.139 0.639 0.500
Ca 0.000 0.000 0.000
Ca 0.500 0.500 0.000

| no. | DFT formation energy (eV/atom) |
| --- | --- |
| 1 | -0.485 |
| 2 | -0.800 |